# 1
Density functional theory data (GGA-PBE) for Ac2Sb3Ir2 after structural relaxation.

## Properties
- Uncorrected energy: -6.08 eV/atom
- M_tot: 0.0000 μB/atom
- ρ: 10638 kg/m3

a = 4.576 Å, b = 7.462 Å, c = 11.241 Å
α = 90.00°, β = 101.74°, γ = 90.00°
Sites, in units of the cell vectors:
Ac 0.165 0.250 0.329
Ac 0.835 0.750 0.671
Ac 0.978 0.250 0.955
Ac 0.022 0.750 0.045
Sb 0.217 0.750 0.434
Sb 0.783 0.250 0.566
Sb 0.585 0.485 0.171
Sb 0.415 0.515 0.829
Sb 0.415 0.985 0.829
Sb 0.585 0.015 0.171
Ir 0.707 0.956 0.415
Ir 0.293 0.044 0.585
Ir 0.293 0.456 0.585
Ir 0.707 0.544 0.415

=====

# 2
Density functional theory data (GGA-PBE) for HoAgHgAu after structural relaxation.

## Properties
- M_tot: 0.0000 μB/atom
- ρ: 13089 kg/m3
- ΔE_f: -1.8 eV per formula unit
- Relative energy among the computed polymorphs: 0 meV/atom

a = 4.646 Å, b = 4.646 Å, c = 5.130 Å
α = 116.93°, β = 116.93°, γ = 90.00°
Sites, in units of the cell vectors:
Ho 0.250 0.750 0.500
Ag 0.750 0.250 0.500
Hg 0.500 0.500 0.000
Au 0.000 0.000 0.000